Entry 1:
Density functional theory data (PBE) for CeZrTcAg after structural relaxation.

Lattice parameters (Å, degrees): 4.900 4.900 4.900 60.00 60.00 60.00
Sites, in units of the cell vectors:
Ce1 0.000 0.000 0.000
Zr1 0.500 0.500 0.500
Tc1 0.250 0.250 0.250
Ag1 0.750 0.750 0.750

Summary:
N(E_F) = 7.3 states/eV per cell
calculated formation energy = -15 meV/atom

Entry 2:
Density functional theory data (PBE) for Ce2AgGe3Pt4 after structural relaxation.

Lattice parameters (Å, degrees): 4.196 4.196 11.116 90.00 90.00 90.00
Sites, in units of the cell vectors:
Ce1 0.000 0.500 0.249
Ce2 0.500 0.000 0.751
Ag1 0.500 0.500 0.000
Ge1 0.000 0.000 0.000
Ge2 0.000 0.500 0.627
Ge3 0.500 0.000 0.373
Pt1 0.000 0.000 0.500
Pt2 0.000 0.500 0.845
Pt3 0.500 0.000 0.155
Pt4 0.500 0.500 0.500

Summary:
N(E_F) = 15.0 states/eV per cell
calculated formation energy = -773 meV/atom

Entry 3:
Density functional theory data (PBE) for Tb2Er3Pt4 after structural relaxation.

Lattice parameters (Å, degrees): 8.429 8.429 7.708 90.00 90.00 127.43
Sites, in units of the cell vectors:
Tb1 0.103 0.897 0.902
Tb2 0.397 0.603 0.402
Tb3 0.603 0.397 0.598
Tb4 0.897 0.103 0.098
Er1 0.000 0.000 0.500
Er2 0.043 0.457 0.750
Er3 0.457 0.043 0.250
Er4 0.500 0.500 0.000
Er5 0.543 0.957 0.750
Er6 0.957 0.543 0.250
Pt1 0.200 0.800 0.547
Pt2 0.226 0.274 0.750
Pt3 0.274 0.226 0.250
Pt4 0.300 0.700 0.047
Pt5 0.700 0.300 0.953
Pt6 0.726 0.774 0.750
Pt7 0.774 0.726 0.250
Pt8 0.800 0.200 0.453

Summary:
excess energy over the best structure of this formula in the dataset = 158.5 meV per atom
N(E_F) = 13.5 states/eV per cell
calculated formation energy = -1044 meV/atom

Question: What is the formula in the second record?
Answer: Ce2AgGe3Pt4